1.
{"formula": "Pa3Co2P4Pd2", "functional": "PBE", "state": "relaxed", "ef_ev_per_fu": -10.9, "lattice_angstrom": [[3.947, 0.000, 0.000], [-1.973, 3.418, 0.000], [0.000, 0.000, 14.048]], "species": ["Pa", "Pa", "Pa", "Co", "Co", "P", "P", "P", "P", "Pd", "Pd"], "frac_coords": [[0.000, 0.000, 0.000], [0.000, 0.000, 0.267], [0.000, 0.000, 0.733], [0.333, 0.667, 0.123], [0.667, 0.333, 0.877], [0.333, 0.667, 0.381], [0.333, 0.667, 0.860], [0.667, 0.333, 0.140], [0.667, 0.333, 0.619], [0.333, 0.667, 0.561], [0.667, 0.333, 0.439]]}



2.
{"formula": "Pa2Co4P3Pt", "functional": "PBE", "state": "relaxed", "ef_ev_per_fu": -8.9, "lattice_angstrom": [[3.738, 0.000, 0.000], [0.000, 3.738, 0.000], [0.000, 0.000, 10.351]], "species": ["Pa", "Pa", "Co", "Co", "Co", "Co", "P", "P", "P", "Pt"], "frac_coords": [[0.000, 0.500, 0.248], [0.500, 0.000, 0.752], [0.000, 0.000, 0.000], [0.000, 0.500, 0.671], [0.500, 0.000, 0.329], [0.500, 0.500, 0.000], [0.000, 0.500, 0.882], [0.500, 0.000, 0.118], [0.500, 0.500, 0.500], [0.000, 0.000, 0.500]]}



3.
{"formula": "Pa2Co12P3Pt", "functional": "PBE", "state": "relaxed", "ef_ev_per_fu": -1.2, "lattice_angstrom": [[4.108, 2.372, 4.039], [-4.108, 2.372, 4.039], [0.000, -4.743, 4.039]], "species": ["Pa", "Pa", "Co", "Co", "Co", "Co", "Co", "Co", "Co", "Co", "Co", "Co", "Co", "Co", "P", "P", "P", "Pt"], "frac_coords": [[0.137, 0.137, 0.137], [0.863, 0.863, 0.863], [0.126, 0.126, 0.604], [0.126, 0.604, 0.126], [0.161, 0.687, 0.687], [0.313, 0.313, 0.839], [0.313, 0.839, 0.313], [0.396, 0.874, 0.874], [0.604, 0.126, 0.126], [0.687, 0.161, 0.687], [0.687, 0.687, 0.161], [0.839, 0.313, 0.313], [0.874, 0.396, 0.874], [0.874, 0.874, 0.396], [0.000, 0.500, 0.500], [0.500, 0.000, 0.500], [0.500, 0.500, 0.000], [0.500, 0.500, 0.500]]}



4.
{"formula": "Pa2Co3P4Pt", "functional": "PBE", "state": "relaxed", "ef_ev_per_fu": -9.5, "lattice_angstrom": [[4.038, 0.000, 0.000], [0.000, 4.038, 0.000], [0.000, 0.000, 9.105]], "species": ["Pa", "Pa", "Co", "Co", "Co", "P", "P", "P", "P", "Pt"], "frac_coords": [[0.000, 0.500, 0.237], [0.500, 0.000, 0.763], [0.000, 0.500, 0.894], [0.500, 0.000, 0.106], [0.500, 0.500, 0.500], [0.000, 0.000, 0.000], [0.000, 0.500, 0.649], [0.500, 0.000, 0.351], [0.500, 0.500, 0.000], [0.000, 0.000, 0.500]]}



5.
{"formula": "PuPaCo2P2", "functional": "PBE", "state": "relaxed", "ef_ev_per_fu": -6.0, "lattice_angstrom": [[3.878, 0.000, 0.000], [-1.939, 3.358, 0.000], [0.000, 0.000, 7.671]], "species": ["Pu", "Pa", "Co", "Co", "P", "P"], "frac_coords": [[0.000, 0.000, 0.000], [0.000, 0.000, 0.500], [0.333, 0.667, 0.279], [0.667, 0.333, 0.721], [0.333, 0.667, 0.762], [0.667, 0.333, 0.238]]}



6.
{"formula": "PaCoReP2", "functional": "PBE", "state": "relaxed", "ef_ev_per_fu": -3.6, "lattice_angstrom": [[3.942, 0.000, 0.000], [0.000, 3.942, 0.000], [0.000, 0.000, 9.805]], "species": ["Pa", "Pa", "Co", "Co", "Re", "Re", "P", "P", "P", "P"], "frac_coords": [[0.000, 0.000, 0.000], [0.500, 0.500, 0.500], [0.000, 0.500, 0.250], [0.500, 0.000, 0.750], [0.000, 0.500, 0.750], [0.500, 0.000, 0.250], [0.000, 0.000, 0.378], [0.000, 0.000, 0.622], [0.500, 0.500, 0.122], [0.500, 0.500, 0.878]]}



7.
{"formula": "Pa2CoP3Rh4", "functional": "PBE", "state": "relaxed", "ef_ev_per_fu": -8.6, "lattice_angstrom": [[3.925, 0.000, 0.000], [0.000, 3.925, 0.000], [0.000, 0.000, 10.435]], "species": ["Pa", "Pa", "Co", "P", "P", "P", "Rh", "Rh", "Rh", "Rh"], "frac_coords": [[0.000, 0.500, 0.241], [0.500, 0.000, 0.759], [0.500, 0.500, 0.000], [0.000, 0.000, 0.000], [0.000, 0.500, 0.630], [0.500, 0.000, 0.370], [0.000, 0.000, 0.500], [0.000, 0.500, 0.847], [0.500, 0.000, 0.153], [0.500, 0.500, 0.500]]}



8.
{"formula": "PaCo2P2Rh", "functional": "PBE", "state": "relaxed", "ef_ev_per_fu": -4.8, "lattice_angstrom": [[3.845, 0.000, 0.000], [-1.923, 3.330, 0.000], [0.000, 0.000, 6.687]], "species": ["Pa", "Co", "Co", "P", "P", "Rh"], "frac_coords": [[0.000, 0.000, 0.000], [0.333, 0.667, 0.729], [0.667, 0.333, 0.271], [0.333, 0.667, 0.292], [0.667, 0.333, 0.708], [0.000, 0.000, 0.500]]}



9.
{"formula": "Pa2CoP4Rh3", "functional": "PBE", "state": "relaxed", "ef_ev_per_fu": -9.5, "lattice_angstrom": [[4.142, 0.000, 0.000], [0.000, 4.142, 0.000], [0.000, 0.000, 9.259]], "species": ["Pa", "Pa", "Co", "P", "P", "P", "P", "Rh", "Rh", "Rh"], "frac_coords": [[0.000, 0.500, 0.249], [0.500, 0.000, 0.751], [0.500, 0.500, 0.000], [0.000, 0.000, 0.500], [0.000, 0.500, 0.870], [0.500, 0.000, 0.130], [0.500, 0.500, 0.500], [0.000, 0.000, 0.000], [0.000, 0.500, 0.616], [0.500, 0.000, 0.384]]}



10.
{"formula": "Pa2Co3P4Rh", "functional": "PBE", "state": "relaxed", "ef_ev_per_fu": -10.1, "lattice_angstrom": [[4.022, 0.000, 0.000], [0.000, 4.022, 0.000], [0.000, 0.000, 9.027]], "species": ["Pa", "Pa", "Co", "Co", "Co", "P", "P", "P", "P", "Rh"], "frac_coords": [[0.000, 0.500, 0.242], [0.500, 0.000, 0.758], [0.000, 0.500, 0.892], [0.500, 0.000, 0.108], [0.500, 0.500, 0.500], [0.000, 0.000, 0.000], [0.000, 0.500, 0.644], [0.500, 0.000, 0.356], [0.500, 0.500, 0.000], [0.000, 0.000, 0.500]]}



11.
{"formula": "Pa3Co2P4Ru2", "functional": "PBE", "state": "relaxed", "ef_ev_per_fu": -11.2, "lattice_angstrom": [[3.901, 0.000, 0.000], [-1.950, 3.378, 0.000], [0.000, 0.000, 14.090]], "species": ["Pa", "Pa", "Pa", "Co", "Co", "P", "P", "P", "P", "Ru", "Ru"], "frac_coords": [[0.000, 0.000, 0.000], [0.000, 0.000, 0.267], [0.000, 0.000, 0.733], [0.333, 0.667, 0.143], [0.667, 0.333, 0.857], [0.333, 0.667, 0.395], [0.333, 0.667, 0.869], [0.667, 0.333, 0.131], [0.667, 0.333, 0.605], [0.333, 0.667, 0.567], [0.667, 0.333, 0.433]]}



12.
{"formula": "PaCoP2Ru", "functional": "PBE", "state": "relaxed", "ef_ev_per_fu": -4.5, "lattice_angstrom": [[3.893, 0.000, 0.000], [0.000, 3.893, 0.000], [0.000, 0.000, 9.756]], "species": ["Pa", "Pa", "Co", "Co", "P", "P", "P", "P", "Ru", "Ru"], "frac_coords": [[0.000, 0.000, 0.000], [0.500, 0.500, 0.500], [0.000, 0.500, 0.250], [0.500, 0.000, 0.750], [0.000, 0.000, 0.383], [0.000, 0.000, 0.617], [0.500, 0.500, 0.117], [0.500, 0.500, 0.883], [0.000, 0.500, 0.750], [0.500, 0.000, 0.250]]}